Here is a relaxed HfMg6VO8 crystal from Alexandria. Energies are from PBE with a Hubbard U.

Summary:
As for the space group: No. 123. Its magnetic moment is 1.8 Bohr magnetons per cell. Its final energy is -104.3 eV/cell.

Lattice parameters (Å, degrees): 4.373 4.373 8.770 90.00 90.00 90.00
Sites, in units of the cell vectors:
Hf1 0.000 0.000 0.000
Mg1 0.000 0.500 0.258
Mg2 0.000 0.500 0.742
Mg3 0.500 0.000 0.258
Mg4 0.500 0.000 0.742
Mg5 0.500 0.500 0.000
Mg6 0.500 0.500 0.500
V1 0.000 0.000 0.500
O1 0.000 0.000 0.253
O2 0.000 0.000 0.747
O3 0.000 0.500 0.000
O4 0.000 0.500 0.500
O5 0.500 0.000 0.000
O6 0.500 0.000 0.500
O7 0.500 0.500 0.252
O8 0.500 0.500 0.748